Material: TcAs2SeBr
Method: DFT, PBE
State: relaxed

The formation energy (no corrections) comes out at 1.3276 eV per atom.

The space group is P4/mmm (No. 123) and the conventional cell measures 5.1172, 5.1172 and 5.0271 Å, with angles of 90.00, 90.00 and 90.00 degrees. Symmetry generates all atoms from Tc at (0.0000, 0.0000, 0.0000), As at (0.0000, 0.5000, 0.5000), Se at (0.5000, 0.5000, 0.5000) and Br at (0.5000, 0.5000, 0.0000).

***

Material: LiAl2Ag
Method: DFT, PBE
State: relaxed

The energy of formation from the pure elements comes out at -12.3 kJ/mol of atoms.

The space group is C2/m (No. 12) and the conventional cell measures 9.3567, 2.9414 and 4.8289 Å, with angles of 90.00, 101.20 and 90.00 degrees. Symmetry generates all atoms from Li at (0.0000, 0.0000, 0.0000), Al at (0.2443, 0.0000, 0.7480) and Ag at (0.0000, 0.5000, 0.5000).

***

Material: Al2C
Method: DFT, PBE
State: relaxed

The energy of formation from the pure elements comes out at 63.3 kJ/mol of atoms.

The space group is Cmmm (No. 65) and the conventional cell measures 5.6059, 10.1343 and 2.9998 Å, with angles of 90.00, 90.00 and 90.00 degrees. Symmetry generates all atoms from Al at (0.0000, 0.0000, 0.0000), Al at (0.0000, 0.2347, 0.5000), Al at (0.0000, 0.5000, 0.5000) and C at (0.0000, 0.3608, 0.0000).

***

Material: K2CuSnAs
Method: DFT, PBE
State: relaxed

The energy of formation from the pure elements comes out at 15.5 kJ/mol of atoms.

The space group is P4/mmm (No. 123) and the conventional cell measures 6.5942, 6.5942 and 4.3890 Å, with angles of 90.00, 90.00 and 90.00 degrees. Symmetry generates all atoms from K at (0.0000, 0.5000, 0.0000), Cu at (0.0000, 0.0000, 0.5000), Sn at (0.5000, 0.5000, 0.5000) and As at (0.0000, 0.0000, 0.0000).

***

Material: TlZnPS2
Method: DFT, PBE
State: relaxed

The formation energy (no corrections) comes out at 0.4575 eV per atom.

The space group is P4/mmm (No. 123) and the conventional cell measures 4.8743, 4.8743 and 4.7311 Å, with angles of 90.00, 90.00 and 90.00 degrees. Symmetry generates all atoms from Tl at (0.0000, 0.0000, 0.0000), Zn at (0.5000, 0.5000, 0.5000), P at (0.5000, 0.5000, 0.0000) and S at (0.0000, 0.5000, 0.5000).

***

Material: Mg2ReRu
Method: DFT, PBE
State: relaxed

The energy of formation from the pure elements comes out at 26.4 kJ/mol of atoms.

The space group is Pmmm (No. 47) and the conventional cell measures 3.0259, 4.5204 and 4.5962 Å, with angles of 90.00, 90.00 and 90.00 degrees. Symmetry generates all atoms from Mg at (0.0000, 0.0000, 0.0000), Mg at (0.5000, 0.5000, 0.0000), Re at (0.0000, 0.5000, 0.5000) and Ru at (0.5000, 0.0000, 0.5000).

***

Material: ErHfHg2
Method: DFT, PBE
State: relaxed

The energy of formation from the pure elements comes out at -19.3 kJ/mol of atoms.

The space group is P4/mmm (No. 123) and the conventional cell measures 3.5922, 3.5922 and 7.1297 Å, with angles of 90.00, 90.00 and 90.00 degrees. Symmetry generates all atoms from Er at (0.0000, 0.0000, 0.0000), Hf at (0.0000, 0.0000, 0.5000) and Hg at (0.5000, 0.5000, 0.2649).

***

Material: SrLaMg2
Method: DFT, PBE
State: relaxed

The energy of formation from the pure elements comes out at 0.1 kJ/mol of atoms.

The space group is Imm2 (No. 44) and the conventional cell measures 3.8442, 5.8656 and 11.8726 Å, with angles of 90.00, 90.00 and 90.00 degrees. Symmetry generates all atoms from Sr at (0.0000, 0.0000, 0.0000), La at (0.0000, 0.5000, 0.7915), Mg at (0.0000, 0.0000, 0.5417) and Mg at (0.0000, 0.5000, 0.2402).

***

Material: CsHSeN
Method: DFT, PBE
State: relaxed

As for the final energy: -3.803 eV/atom.

The space group is Pm (No. 6) and the conventional cell measures 4.4245, 4.4281 and 5.4059 Å, with angles of 90.00, 95.92 and 90.00 degrees. Symmetry generates all atoms from Cs at (0.0000, 0.0000, 0.0000), H at (0.8266, 0.5000, 0.4795), Se at (0.4818, 0.5000, 0.5288) and N at (0.4724, 0.5000, 0.8538).

***

Material: NaPuSb2
Method: DFT, PBE
State: relaxed

The formation energy (no corrections) comes out at -0.3025 eV per atom.

The space group is R3m (No. 160, hexagonal axes) and the conventional cell measures 4.7597, 4.7597 and 19.0457 Å, with angles of 90.00, 90.00 and 120.00 degrees. Symmetry generates all atoms from Na at (0.0000, 0.0000, 0.0000), Pu at (0.0000, 0.0000, 0.8199), Sb at (0.0000, 0.0000, 0.2415) and Sb at (0.0000, 0.0000, 0.4051).

***

Material: Zr5ZnCu
Method: DFT, PBE
State: relaxed

The energy of formation from the pure elements comes out at 7.7 kJ/mol of atoms.

The space group is C2/c (No. 15) and the conventional cell measures 7.7812, 7.8999 and 9.5789 Å, with angles of 90.00, 90.53 and 90.00 degrees. Symmetry generates all atoms from Zr at (0.0000, 0.1340, 0.2500), Zr at (0.1570, 0.3942, 0.0112), Zr at (0.1784, 0.2104, 0.6680), Zn at (0.0000, 0.4968, 0.2500) and Cu at (0.0000, 0.0000, 0.0000).

***

Material: K2CaW
Method: DFT, PBE
State: relaxed

The energy of formation from the pure elements comes out at 137.3 kJ/mol of atoms.

The space group is Pmmm (No. 47) and the conventional cell measures 3.9946, 5.5752 and 6.5261 Å, with angles of 90.00, 90.00 and 90.00 degrees. Symmetry generates all atoms from K at (0.0000, 0.0000, 0.0000), K at (0.5000, 0.5000, 0.0000), Ca at (0.0000, 0.5000, 0.5000) and W at (0.5000, 0.0000, 0.5000).